[1]
Below is an optimized crystal structure of Sb2HCF, with properties calculated at the PBE level.

ΔE to the lowest computed polymorph in meV/atom: 189
Fermi-level density of states in states/eV per atom: 0.34
Total DFT energy (no corrections) in eV per atom: -3.7125
Mass density in g cm⁻³: 6.6

Cell: 4.4056 4.4056 3.5648 Å, 90.00 90.00 90.00°
Last column: nearest neighbours and their distance in Å.
Space group P4/mmm (No. 123)
Asymmetric unit:
Sb 0.0000 0.5000 0.0000 x2  2 H 2.20
H 0.0000 0.0000 0.0000 x1  2 F 1.78
C 0.5000 0.5000 0.5000 x1  8 Sb 2.83, 4 F 3.12
F 0.0000 0.0000 0.5000 x1  2 H 1.78

[2]
Below is an optimized crystal structure of BaCrCl, with properties calculated at the PBE level.

ΔE to the lowest computed polymorph in meV/atom: 56
Fermi-level density of states in states/eV per atom: 0.38
Total DFT energy (no corrections) in eV per atom: -4.6716
E_form (uncorrected) in eV/atom: -0.207
Mass density in g cm⁻³: 4.1

Cell: 5.0732 5.0732 4.0496 Å, 90.00 90.00 120.00°
Last column: nearest neighbours and their distance in Å.
Space group P-6m2 (No. 187)
Asymmetric unit:
Ba 0.0000 0.0000 0.0000 x1  6 Cr 3.56, 6 Cl 3.56
Cr 0.3333 0.6667 0.5000 x1  3 Cl 2.93
Cl 0.6667 0.3333 0.5000 x1  3 Cr 2.93

[3]
Below is an optimized crystal structure of Ga2SbOs, with properties calculated at the PBE level.

Fermi-level density of states in states/eV per atom: 0.99
Total DFT energy (no corrections) in eV per atom: -4.6395
E_form (uncorrected) in eV/atom: 0.712
Mass density in g cm⁻³: 7.1

Cell: 5.8786 5.8786 12.1357 Å, 90.00 90.00 90.00°
Last column: nearest neighbours and their distance in Å.
Space group I-42d (No. 122)
Asymmetric unit:
Ga 0.2024 0.2500 0.1250 x8  2 Os 2.42
Sb 0.0000 0.0000 0.5000 x4  4 Ga 2.74
Os 0.0000 0.0000 0.0000 x4  4 Ga 2.42

[4]
Below is an optimized crystal structure of LiNp2Rh8, with properties calculated at the PBE level.

Fermi-level density of states in states/eV per atom: 1.63
Total DFT energy (no corrections) in eV per atom: -8.0725
Energy of formation in kJ/mol of atoms: -19
Mass density in g cm⁻³: 12.2

Cell: 3.9714 7.7031 11.6519 Å, 90.00 90.00 90.00°
Last column: nearest neighbours and their distance in Å.
Space group Immm (No. 71)
Asymmetric unit:
Li 0.0000 0.0000 0.0000 x2  12 Rh 2.74-2.80
Np 0.0000 0.0000 0.3451 x4  10 Rh 2.61-2.88
Rh 0.0000 0.2443 0.5000 x4  2 Np 2.61, 6 Rh 2.75-2.77, 2 Li 2.80
Rh 0.0000 0.2545 0.1637 x8  7 Rh 2.73-2.83, 1 Li 2.74, 3 Np 2.74-2.88
Rh 0.0000 0.5000 0.3330 x4  8 Rh 2.73-2.79, 2 Li 2.78, 2 Np 2.87

[5]
Below is an optimized crystal structure of TiAl2Ni, with properties calculated at the PBE level.

Fermi-level density of states in states/eV per atom: 1.06
Total DFT energy (no corrections) in eV per atom: -5.2307
Energy of formation in kJ/mol of atoms: 6
Mass density in g cm⁻³: 4.2

Cell: 3.7309 3.7309 18.4102 Å, 90.00 90.00 90.00°
Last column: nearest neighbours and their distance in Å.
Space group I-42d (No. 122)
Asymmetric unit:
Ti 0.0000 0.0000 0.0000 x4  4 Ni 2.64, 4 Al 2.66
Al 0.2430 0.2500 0.6250 x8  4 Al 2.60-2.68, 2 Ni 2.64, 2 Ti 2.66
Ni 0.0000 0.0000 0.5000 x4  4 Ti 2.64, 4 Al 2.64

[6]
Below is an optimized crystal structure of CeMgH4, with properties calculated at the PBE level.

Fermi-level density of states in states/eV per atom: 0.80
Total DFT energy (no corrections) in eV per atom: -3.8333
Mass density in g cm⁻³: 4.3

Cell: 3.5096 3.5096 5.2582 Å, 90.00 90.00 90.00°
Last column: nearest neighbours and their distance in Å.
Space group P4/mmm (No. 123)
Asymmetric unit:
Ce 0.0000 0.0000 0.0000 x1  8 H 2.28
Mg 0.5000 0.5000 0.5000 x1  8 H 2.11
H 0.0000 0.5000 0.2782 x4  2 Mg 2.11, 2 Ce 2.28, 1 H 2.33

Copy entry 2 word for word.
Below is an optimized crystal structure of BaCrCl, with properties calculated at the PBE level.

ΔE to the lowest computed polymorph in meV/atom: 56
Fermi-level density of states in states/eV per atom: 0.38
Total DFT energy (no corrections) in eV per atom: -4.6716
E_form (uncorrected) in eV/atom: -0.207
Mass density in g cm⁻³: 4.1

Cell: 5.0732 5.0732 4.0496 Å, 90.00 90.00 120.00°
Last column: nearest neighbours and their distance in Å.
Space group P-6m2 (No. 187)
Asymmetric unit:
Ba 0.0000 0.0000 0.0000 x1  6 Cr 3.56, 6 Cl 3.56
Cr 0.3333 0.6667 0.5000 x1  3 Cl 2.93
Cl 0.6667 0.3333 0.5000 x1  3 Cr 2.93